# MgBr2O4 (PBE, relaxed)
data_MgBr2O4
_cell_length_a 16.8387
_cell_length_b 3.9150
_cell_length_c 3.8085
_cell_angle_alpha 90.00
_cell_angle_beta 99.86
_cell_angle_gamma 90.00
_symmetry_space_group_name_H-M 'C 1 2/m 1'
_symmetry_Int_Tables_number 12
_symmetry_space_group_name_Hall '-C 2y'
loop_
_atom_site_label
_atom_site_fract_x
_atom_site_fract_y
_atom_site_fract_z
Mg1 0.0000 0.0000 0.0000
Br1 0.1531 0.0000 0.6164
O1 0.0000 0.5000 0.0000
O2 0.0000 0.5000 0.5000
O3 0.1275 0.0000 0.1041
# E_form (uncorrected) ... -0.1567 eV/atom
# Total DFT energy (no corrections) ... -51.74 eV per cell
# Crystal system ... monoclinic
# Magnetization ... 0.068 Bohr magnetons per cell



# MgBr2O6 (PBE, relaxed)
data_MgBr2O6
_cell_length_a 5.7106
_cell_length_b 5.7106
_cell_length_c 5.7238
_cell_angle_alpha 90.00
_cell_angle_beta 90.00
_cell_angle_gamma 120.00
_symmetry_space_group_name_H-M 'P -3 m 1'
_symmetry_Int_Tables_number 164
_symmetry_space_group_name_Hall '-P 3 2"'
loop_
_atom_site_label
_atom_site_fract_x
_atom_site_fract_y
_atom_site_fract_z
Mg1 0.0000 0.0000 0.0000
Br1 0.3333 0.6667 0.0900
O1 0.1781 0.3561 0.2120
# E_form (uncorrected) ... -0.4252 eV/atom
# Offset from the most stable computed form ... 54 meV/atom
# Total DFT energy (no corrections) ... -38.52 eV per cell
# Crystal system ... trigonal
# Magnetization ... 0.000 Bohr magnetons per cell



# MgBr2O6 (PBE, relaxed)
data_MgBr2O6
_cell_length_a 11.2061
_cell_length_b 6.9260
_cell_length_c 4.3360
_cell_angle_alpha 90.00
_cell_angle_beta 110.19
_cell_angle_gamma 90.00
_symmetry_space_group_name_H-M 'C 1 2/m 1'
_symmetry_Int_Tables_number 12
_symmetry_space_group_name_Hall '-C 2y'
loop_
_atom_site_label
_atom_site_fract_x
_atom_site_fract_y
_atom_site_fract_z
Mg1 0.0000 0.0000 0.0000
Br1 0.2429 0.5000 0.2334
O1 0.0283 0.2128 0.3932
O2 0.1868 0.0000 0.0753
# E_form (uncorrected) ... -0.3245 eV/atom
# Offset from the most stable computed form ... 155 meV/atom
# Total DFT energy (no corrections) ... -75.22 eV per cell
# Crystal system ... monoclinic
# Magnetization ... 7.615 Bohr magnetons per cell



# MgBrO3 (PBE, relaxed)
data_MgBrO3
_cell_length_a 3.9782
_cell_length_b 3.9782
_cell_length_c 3.9782
_cell_angle_alpha 90.00
_cell_angle_beta 90.00
_cell_angle_gamma 90.00
_symmetry_space_group_name_H-M 'P m -3 m'
_symmetry_Int_Tables_number 221
_symmetry_space_group_name_Hall '-P 4 2 3'
loop_
_atom_site_label
_atom_site_fract_x
_atom_site_fract_y
_atom_site_fract_z
Mg1 0.0000 0.0000 0.0000
Br1 0.5000 0.5000 0.5000
O1 0.0000 0.5000 0.5000
# E_form (uncorrected) ... -0.0831 eV/atom
# Total DFT energy (no corrections) ... -18.56 eV per cell
# Crystal system ... cubic
# Magnetization ... 0.000 Bohr magnetons per cell